# 1
First-principles (GGA-PBE) data for a relaxed La2Cd2Hg crystal, as listed in Alexandria via LeMat-Bulk.

ΔH_f (0 K) (eV per atom): 0.116

Structure (CIF):
```
data_La2Cd2Hg
_chemical_formula_sum 'La4 Cd4 Hg2'
_space_group_name_H-M_alt 'I 4/m m m'
_space_group_IT_number 139
_space_group_name_Hall '-I 4 2'
_cell_length_a 4.8168
_cell_length_b 4.8168
_cell_length_c 14.0957
_cell_angle_alpha 90.00
_cell_angle_beta 90.00
_cell_angle_gamma 90.00
loop_
_atom_site_label
_atom_site_type_symbol
_atom_site_fract_x
_atom_site_fract_y
_atom_site_fract_z
La1 La 0.0000 0.5000 0.2500
Cd1 Cd 0.0000 0.0000 0.0945
Hg1 Hg 0.0000 0.0000 0.5000
```

# 2
First-principles (GGA-PBE) data for a relaxed TlMoSeBr2 crystal, as listed in Alexandria via LeMat-Bulk.

Formation energy without anion corrections (meV per atom): -243

Structure (CIF):
```
data_TlMoSeBr2
_chemical_formula_sum 'Tl1 Mo1 Se1 Br2'
_space_group_name_H-M_alt 'P 4/m m m'
_space_group_IT_number 123
_space_group_name_Hall '-P 4 2'
_cell_length_a 5.4598
_cell_length_b 5.4598
_cell_length_c 4.9288
_cell_angle_alpha 90.00
_cell_angle_beta 90.00
_cell_angle_gamma 90.00
loop_
_atom_site_label
_atom_site_type_symbol
_atom_site_fract_x
_atom_site_fract_y
_atom_site_fract_z
Tl1 Tl 0.0000 0.0000 0.0000
Mo1 Mo 0.5000 0.5000 0.5000
Se1 Se 0.5000 0.5000 0.0000
Br1 Br 0.0000 0.5000 0.5000
```

# 3
First-principles (GGA-PBE) data for a relaxed LiTlH2 crystal, as listed in Alexandria via LeMat-Bulk.

E_tot (eV for the cell shown): -31.28

Structure (CIF):
```
data_LiTlH2
_chemical_formula_sum 'Li3 Tl3 H6'
_space_group_name_H-M_alt 'R -3 m'
_space_group_IT_number 166
_space_group_name_Hall '-R 3 2"'
_cell_length_a 3.3391
_cell_length_b 3.3391
_cell_length_c 17.0768
_cell_angle_alpha 90.00
_cell_angle_beta 90.00
_cell_angle_gamma 120.00
loop_
_atom_site_label
_atom_site_type_symbol
_atom_site_fract_x
_atom_site_fract_y
_atom_site_fract_z
Li1 Li 0.0000 0.0000 0.0000
Tl1 Tl 0.0000 0.0000 0.5000
H1 H 0.0000 0.0000 0.2788
```

# 4
First-principles (GGA-PBE) data for a relaxed La3CdO crystal, as listed in Alexandria via LeMat-Bulk.

Formation energy without anion corrections (meV per atom): -1081

Structure (CIF):
```
data_La3CdO
_chemical_formula_sum 'La18 Cd6 O6'
_space_group_name_H-M_alt 'R -3'
_space_group_IT_number 148
_space_group_name_Hall '-R 3'
_cell_length_a 6.5177
_cell_length_b 6.5177
_cell_length_c 23.6235
_cell_angle_alpha 90.00
_cell_angle_beta 90.00
_cell_angle_gamma 120.00
loop_
_atom_site_label
_atom_site_type_symbol
_atom_site_fract_x
_atom_site_fract_y
_atom_site_fract_z
La1 La 0.0016 0.3525 0.0610
Cd1 Cd 0.0000 0.0000 0.1637
O1 O 0.0000 0.0000 0.3338
```

# 5
First-principles (GGA-PBE) data for a relaxed YNbIrRh2 crystal, as listed in Alexandria via LeMat-Bulk.

ΔH_f (0 K) (eV per atom): 0.239

Structure (CIF):
```
data_YNbIrRh2
_chemical_formula_sum 'Y1 Nb1 Ir1 Rh2'
_space_group_name_H-M_alt 'P 4/m m m'
_space_group_IT_number 123
_space_group_name_Hall '-P 4 2'
_cell_length_a 4.7259
_cell_length_b 4.7259
_cell_length_c 4.8580
_cell_angle_alpha 90.00
_cell_angle_beta 90.00
_cell_angle_gamma 90.00
loop_
_atom_site_label
_atom_site_type_symbol
_atom_site_fract_x
_atom_site_fract_y
_atom_site_fract_z
Y1 Y 0.0000 0.0000 0.0000
Nb1 Nb 0.5000 0.5000 0.5000
Ir1 Ir 0.5000 0.5000 0.0000
Rh1 Rh 0.0000 0.5000 0.5000
```

# 6
First-principles (GGA-PBE) data for a relaxed BaAsAu crystal, as listed in Alexandria via LeMat-Bulk.

ΔH_f (0 K) (eV per atom): -0.932

Structure (CIF):
```
data_BaAsAu
_chemical_formula_sum 'Ba2 As2 Au2'
_space_group_name_H-M_alt 'P 63/m m c'
_space_group_IT_number 194
_space_group_name_Hall '-P 6c 2c'
_cell_length_a 4.6197
_cell_length_b 4.6197
_cell_length_c 9.2213
_cell_angle_alpha 90.00
_cell_angle_beta 90.00
_cell_angle_gamma 120.00
loop_
_atom_site_label
_atom_site_type_symbol
_atom_site_fract_x
_atom_site_fract_y
_atom_site_fract_z
Ba1 Ba 0.0000 0.0000 0.0000
As1 As 0.3333 0.6667 0.2500
Au1 Au 0.3333 0.6667 0.7500
```

# 7
First-principles (GGA-PBE) data for a relaxed Pm2LuPu crystal, as listed in Alexandria via LeMat-Bulk.

ΔH_f (0 K) (eV per atom): 0.144

Structure (CIF):
```
data_Pm2LuPu
_chemical_formula_sum 'Pm2 Lu1 Pu1'
_space_group_name_H-M_alt 'P 4/m m m'
_space_group_IT_number 123
_space_group_name_Hall '-P 4 2'
_cell_length_a 5.0187
_cell_length_b 5.0187
_cell_length_c 4.9527
_cell_angle_alpha 90.00
_cell_angle_beta 90.00
_cell_angle_gamma 90.00
loop_
_atom_site_label
_atom_site_type_symbol
_atom_site_fract_x
_atom_site_fract_y
_atom_site_fract_z
Pm1 Pm 0.0000 0.5000 0.0000
Lu1 Lu 0.0000 0.0000 0.5000
Pu1 Pu 0.5000 0.5000 0.5000
```

# 8
First-principles (GGA-PBE) data for a relaxed Er6HPb3 crystal, as listed in Alexandria via LeMat-Bulk.

E_tot (eV for the cell shown): -183.64

Structure (CIF):
```
data_Er6HPb3
_chemical_formula_sum 'Er24 H4 Pb12'
_space_group_name_H-M_alt 'C m c m'
_space_group_IT_number 63
_space_group_name_Hall '-C 2c 2'
_cell_length_a 13.0079
_cell_length_b 16.1193
_cell_length_c 4.8277
_cell_angle_alpha 90.00
_cell_angle_beta 90.00
_cell_angle_gamma 90.00
loop_
_atom_site_label
_atom_site_type_symbol
_atom_site_fract_x
_atom_site_fract_y
_atom_site_fract_z
Er1 Er 0.0000 0.0756 0.2500
Er2 Er 0.0000 0.2523 0.7500
Er3 Er 0.1675 0.2513 0.2500
Er4 Er 0.1684 0.4217 0.7500
H1 H 0.0000 0.2120 0.2500
Pb1 Pb 0.0000 0.4060 0.2500
Pb2 Pb 0.1643 0.0981 0.7500
```

| no. | spin magnetization (μB/cell) |
| --- | --- |
| 1 | 0.000 |
| 2 | 2.666 |
| 3 | 0.000 |
| 4 | 0.000 |
| 5 | 0.000 |
| 6 | 0.000 |
| 7 | 6.231 |
| 8 | 2.169 |